Record 1
FeBW | OQMD | PBE | optimized geometry; V = 31.7 Å³/f.u.; total magnetization = 0.01 μB per formula unit; uncorrected energy = -9.55 eV/atom; space-group type = Ima2 (46)
1.0
-1.7301 1.9917 3.5083
3.2413 2.6478 -1.3236
-3.4486 -0.7245 -2.6175
W Fe B
2 2 2
Direct
0.9277 0.3361 0.0916
0.2445 0.8361 0.9084
0.2688 0.1737 0.5952
0.5785 0.6737 0.4048
0.7403 0.7403 0.0000
0.7403 0.2403 0.5000

---

Record 2
FeB2W | OQMD | PBE | optimized geometry; V = 40.2 Å³/f.u.; total magnetization = 0.00 μB per formula unit; uncorrected energy = -7.78 eV/atom; space-group type = F-43m (216)
1.0
0.0000 2.7198 2.7198
2.7198 0.0000 2.7198
2.7198 2.7198 0.0000
W B Fe
1 2 1
Direct
0.5000 0.5000 0.5000
0.0000 0.0000 0.0000
0.7500 0.7500 0.7500
0.2500 0.2500 0.2500

---

Record 3
FeBW | OQMD | PBE | optimized geometry; V = 32.8 Å³/f.u.; total magnetization = 0.00 μB per formula unit; uncorrected energy = -9.16 eV/atom; space-group type = P-62m (189)
1.0
-0.6423 -0.2750 -6.4099
-0.0838 -5.4248 3.4841
-2.7135 0.2108 0.2629
Fe W B
3 3 3
Direct
0.0000 0.0000 0.5000
0.6667 0.3333 0.0000
0.3333 0.6667 0.0000
0.0000 0.6378 0.5000
0.3622 0.3622 0.5000
0.6378 0.0000 0.5000
0.0000 0.2956 0.0000
0.7044 0.7044 0.0000
0.2956 0.0000 0.0000

---

Record 4
FeBW | OQMD | PBE | optimized geometry; V = 33.6 Å³/f.u.; total magnetization = 1.48 μB per formula unit; uncorrected energy = -9.23 eV/atom; space-group type = P-62m (189)
1.0
6.2964 0.0000 0.0000
-3.1482 5.4528 0.0000
0.0000 0.0000 2.9398
W Fe B
3 3 3
Direct
0.2663 0.0000 0.0000
0.7337 0.7337 0.0000
0.0000 0.2663 0.0000
0.3971 0.3971 0.5000
0.0000 0.6029 0.5000
0.6029 0.0000 0.5000
0.6667 0.3333 0.0000
0.3333 0.6667 0.0000
0.0000 0.0000 0.5000

---

Record 5
FeB3W4 | OQMD | PBE | optimized geometry; V = 96.1 Å³/f.u.; total magnetization = 1.52 μB per formula unit; uncorrected energy = -10.04 eV/atom; space-group type = P6_3/mmc (194)
1.0
3.0933 0.0000 0.0000
-1.5467 2.6789 0.0000
0.0000 0.0000 23.1890
B W Fe
6 8 2
Direct
0.6667 0.3333 0.3851
0.0000 0.0000 0.0000
0.0000 0.0000 0.5000
0.6667 0.3333 0.1149
0.3333 0.6667 0.8851
0.3333 0.6667 0.6149
0.3333 0.6667 0.0588
0.0000 0.0000 0.6677
0.3333 0.6667 0.4412
0.6667 0.3333 0.9412
0.6667 0.3333 0.5588
0.0000 0.0000 0.1677
0.0000 0.0000 0.3323
0.0000 0.0000 0.8323
0.6667 0.3333 0.7500
0.3333 0.6667 0.2500

---

Record 6
ZnFeBW | OQMD | PBE | optimized geometry; V = 46.8 Å³/f.u.; total magnetization = 1.92 μB per formula unit; uncorrected energy = -6.68 eV/atom; space-group type = F-43m (216)
1.0
0.0269 0.8913 3.9457
1.3932 3.5846 1.2544
-2.5625 2.7653 1.4664
Zn B Fe W
1 1 1 1
Direct
0.5000 0.5000 0.5000
0.0000 0.0000 0.0000
0.7500 0.7500 0.7500
0.2500 0.2500 0.2500

---

Record 7
ZnFeBW | OQMD | PBE | optimized geometry; V = 47.3 Å³/f.u.; total magnetization = 0.82 μB per formula unit; uncorrected energy = -6.53 eV/atom; space-group type = F-43m (216)
1.0
3.9564 0.8354 0.3569
1.3106 2.3608 3.0311
2.1481 -1.6113 3.0444
Zn Fe B W
1 1 1 1
Direct
0.2500 0.2500 0.2500
0.7500 0.7500 0.7500
0.0000 0.0000 0.0000
0.5000 0.5000 0.5000

---

Record 8
ZrFeBW | OQMD | PBE | optimized geometry; V = 56.2 Å³/f.u.; total magnetization = 1.97 μB per formula unit; uncorrected energy = -8.38 eV/atom; space-group type = F-43m (216)
1.0
0.0000 3.0397 3.0397
3.0397 0.0000 3.0397
3.0397 3.0397 0.0000
W B Zr Fe
1 1 1 1
Direct
0.5000 0.5000 0.5000
0.0000 0.0000 0.0000
0.2500 0.2500 0.2500
0.7500 0.7500 0.7500

---

Record 9
YFe2B2 | OQMD | PBE | optimized geometry; V = 61.5 Å³/f.u.; total magnetization = 1.19 μB per formula unit; uncorrected energy = -7.72 eV/atom; space-group type = I4/mmm (139)
1.0
2.5537 -2.5537 0.0000
2.5537 2.5537 0.0000
-2.5537 0.0000 4.7126
B Fe Y
2 2 1
Direct
0.6604 0.6604 0.3207
0.3396 0.3396 0.6793
0.2500 0.7500 0.5000
0.7500 0.2500 0.5000
0.0000 0.0000 0.0000

---

Record 10
YFeB4 | OQMD | PBE | optimized geometry; V = 56.7 Å³/f.u.; total magnetization = 0.00 μB per formula unit; uncorrected energy = -7.52 eV/atom; space-group type = Pbam (55)
1.0
-2.1081 -3.5567 -4.1942
4.7493 -8.9503 5.2028
-2.8225 -0.4508 1.8009
B Fe Y
16 4 4
Direct
0.0254 0.8098 0.5000
0.6394 0.9682 0.5000
0.2190 0.6835 0.5000
0.6113 0.5459 0.5000
0.7810 0.3165 0.5000
0.1394 0.5318 0.5000
0.2810 0.1835 0.5000
0.5254 0.6902 0.5000
0.8606 0.4682 0.5000
0.3606 0.0318 0.5000
0.8887 0.0459 0.5000
0.3887 0.4541 0.5000
0.9746 0.1902 0.5000
0.7190 0.8165 0.5000
0.1113 0.9541 0.5000
0.4746 0.3098 0.5000
0.8678 0.9121 0.0000
0.6322 0.4121 0.0000
0.3678 0.5879 0.0000
0.1322 0.0879 0.0000
0.6258 0.1504 0.0000
0.3742 0.8496 0.0000
0.1258 0.3496 0.0000
0.8742 0.6504 0.0000

---

Record 11
YFe4B4 | OQMD | PBE | optimized geometry; V = 92.1 Å³/f.u.; total magnetization = 0.88 μB per formula unit; uncorrected energy = -7.86 eV/atom; space-group type = P4_2/n (86)
1.0
-6.6757 -1.7893 0.7273
-0.2725 -1.7182 -6.7283
1.0495 -3.5629 0.8674
Y B Fe
2 8 8
Direct
0.0000 0.0000 0.0000
0.5000 0.5000 0.5000
0.3329 0.8008 0.8934
0.8008 0.6671 0.1066
0.3008 0.1671 0.3934
0.8329 0.3008 0.6066
0.6671 0.1992 0.8934
0.6992 0.8329 0.3934
0.1671 0.6992 0.6066
0.1992 0.3329 0.1066
0.3678 0.8858 0.3907
0.1142 0.3678 0.6093
0.1322 0.6142 0.1093
0.8678 0.3858 0.1093
0.8858 0.6322 0.6093
0.6142 0.8678 0.8907
0.6322 0.1142 0.3907
0.3858 0.1322 0.8907

---

Record 12
YFeB4 | OQMD | PBE | optimized geometry; V = 56.7 Å³/f.u.; total magnetization = 1.39 μB per formula unit; uncorrected energy = -7.25 eV/atom; space-group type = P6/mmm (191)
1.0
3.1339 0.0000 0.0000
-1.5669 2.7140 0.0000
0.0000 0.0000 6.6608
B Fe Y
4 1 1
Direct
0.6667 0.3333 0.7076
0.3333 0.6667 0.2924
0.3333 0.6667 0.7076
0.6667 0.3333 0.2924
0.0000 0.0000 0.5000
0.0000 0.0000 0.0000

---

Repeat the ninth record exactly.
YFe2B2 | OQMD | PBE | optimized geometry; V = 61.5 Å³/f.u.; total magnetization = 1.19 μB per formula unit; uncorrected energy = -7.72 eV/atom; space-group type = I4/mmm (139)
1.0
2.5537 -2.5537 0.0000
2.5537 2.5537 0.0000
-2.5537 0.0000 4.7126
B Fe Y
2 2 1
Direct
0.6604 0.6604 0.3207
0.3396 0.3396 0.6793
0.2500 0.7500 0.5000
0.7500 0.2500 0.5000
0.0000 0.0000 0.0000